(one)
Computed, not measured: a relaxed Ca4As3 crystal at the PBE-GGA level of DFT. Values from VASP.

Space group   I-43d, No. 220

The structure in Quantum ESPRESSO input format:
```
&SYSTEM
  ibrav = 0, nat = 14, ntyp = 2
/
ATOMIC_SPECIES
Ca 40.08 Ca.upf
As 74.92 As.upf
CELL_PARAMETERS angstrom
7.322 0.000 -2.589
-3.661 6.341 -2.589
0.000 0.000 7.767
ATOMIC_POSITIONS crystal
Ca 0.360 0.500 0.000
Ca 0.500 0.360 0.500
Ca 0.000 0.000 0.360
Ca 0.640 0.140 0.140
Ca 0.000 0.000 0.860
Ca 0.140 0.640 0.640
Ca 0.860 0.500 0.000
Ca 0.500 0.860 0.500
As 0.125 0.375 0.250
As 0.625 0.750 0.875
As 0.875 0.250 0.625
As 0.250 0.875 0.125
As 0.750 0.625 0.375
As 0.375 0.125 0.750
```



(two)
Computed, not measured: a relaxed Ca4As3 crystal at the PBE-GGA level of DFT. Values from VASP.

Space group   Pbam, No. 55

The structure in Quantum ESPRESSO input format:
```
&SYSTEM
  ibrav = 0, nat = 56, ntyp = 2
/
ATOMIC_SPECIES
Ca 40.08 Ca.upf
As 74.92 As.upf
CELL_PARAMETERS angstrom
10.434 0.000 0.000
0.000 11.583 0.000
0.000 0.000 12.139
ATOMIC_POSITIONS crystal
Ca 0.272 0.594 0.264
Ca 0.272 0.406 0.736
Ca 0.728 0.094 0.236
Ca 0.728 0.906 0.764
Ca 0.728 0.406 0.736
Ca 0.728 0.594 0.264
Ca 0.272 0.906 0.764
Ca 0.272 0.094 0.236
Ca 0.324 0.824 0.067
Ca 0.324 0.176 0.933
Ca 0.676 0.324 0.433
Ca 0.676 0.676 0.567
Ca 0.676 0.176 0.933
Ca 0.676 0.824 0.067
Ca 0.324 0.676 0.567
Ca 0.324 0.324 0.433
Ca 0.500 0.875 0.364
Ca 0.500 0.125 0.636
Ca 0.500 0.375 0.136
Ca 0.500 0.625 0.864
Ca 0.000 0.726 0.424
Ca 0.000 0.274 0.576
Ca 0.000 0.226 0.076
Ca 0.000 0.774 0.924
Ca 0.000 0.899 0.207
Ca 0.000 0.101 0.793
Ca 0.000 0.399 0.293
Ca 0.000 0.601 0.707
Ca 0.184 0.500 0.000
Ca 0.816 0.000 0.500
Ca 0.816 0.500 0.000
Ca 0.184 0.000 0.500
As 0.233 0.838 0.324
As 0.233 0.162 0.676
As 0.767 0.338 0.176
As 0.767 0.662 0.824
As 0.767 0.162 0.676
As 0.767 0.838 0.324
As 0.233 0.662 0.824
As 0.233 0.338 0.176
As 0.500 0.539 0.402
As 0.500 0.461 0.598
As 0.500 0.039 0.098
As 0.500 0.961 0.902
As 0.500 0.635 0.114
As 0.500 0.365 0.886
As 0.500 0.135 0.386
As 0.500 0.865 0.614
As 0.000 0.640 0.143
As 0.000 0.360 0.857
As 0.000 0.140 0.357
As 0.000 0.860 0.643
As 0.123 0.500 0.500
As 0.877 0.000 0.000
As 0.877 0.500 0.500
As 0.123 0.000 0.000
```



On energetic grounds, (two) is preferred over the next structure by 40 meV per atom.



(one)
Computed, not measured: a relaxed Ca2CdAs crystal at the PBE-GGA level of DFT. Values from VASP.

Space group   I-42d, No. 122

The structure in Quantum ESPRESSO input format:
```
&SYSTEM
  ibrav = 0, nat = 8, ntyp = 3
/
ATOMIC_SPECIES
As 74.92 As.upf
Ca 40.08 Ca.upf
Cd 112.41 Cd.upf
CELL_PARAMETERS angstrom
5.699 0.000 0.000
0.000 5.699 0.000
2.850 2.850 8.880
ATOMIC_POSITIONS crystal
As 0.500 0.500 0.000
As 0.250 0.750 0.500
Ca 0.584 0.125 0.250
Ca 0.166 0.625 0.250
Ca 0.375 0.416 0.750
Ca 0.875 0.834 0.750
Cd 0.000 0.000 0.000
Cd 0.750 0.250 0.500
```



(two)
Computed, not measured: a relaxed Ca2CdAs crystal at the PBE-GGA level of DFT. Values from VASP.

Space group   Imm2, No. 44

The structure in Quantum ESPRESSO input format:
```
&SYSTEM
  ibrav = 0, nat = 4, ntyp = 3
/
ATOMIC_SPECIES
As 74.92 As.upf
Ca 40.08 Ca.upf
Cd 112.41 Cd.upf
CELL_PARAMETERS angstrom
7.229 0.101 -0.008
4.689 5.503 0.008
-5.731 -3.285 2.936
ATOMIC_POSITIONS crystal
As 0.238 0.738 0.500
Ca 0.056 0.056 0.000
Ca 0.767 0.267 0.500
Cd 0.438 0.438 0.000
```



On energetic grounds, (two) is preferred over the next structure by 329 meV per atom.



(one)
Computed, not measured: a relaxed Ca2CdAs crystal at the PBE-GGA level of DFT. Values from VASP.

Space group   F-43m, No. 216

The structure in Quantum ESPRESSO input format:
```
&SYSTEM
  ibrav = 0, nat = 4, ntyp = 3
/
ATOMIC_SPECIES
As 74.92 As.upf
Ca 40.08 Ca.upf
Cd 112.41 Cd.upf
CELL_PARAMETERS angstrom
5.356 0.000 0.000
2.678 4.639 0.000
2.678 1.546 4.373
ATOMIC_POSITIONS crystal
As 0.500 0.500 0.500
Ca 0.000 0.000 0.000
Ca 0.250 0.250 0.250
Cd 0.750 0.750 0.750
```



(two)
Computed, not measured: a relaxed Ca2CdAs crystal at the PBE-GGA level of DFT. Values from VASP.

Space group   Amm2, No. 38

The structure in Quantum ESPRESSO input format:
```
&SYSTEM
  ibrav = 0, nat = 4, ntyp = 3
/
ATOMIC_SPECIES
As 74.92 As.upf
Ca 40.08 Ca.upf
Cd 112.41 Cd.upf
CELL_PARAMETERS angstrom
6.086 -0.010 0.000
4.504 4.093 0.000
0.000 0.000 4.353
ATOMIC_POSITIONS crystal
As 0.711 0.711 0.875
Ca 0.983 0.983 0.875
Ca 0.261 0.261 0.375
Cd 0.545 0.545 0.375
```



(three)
Computed, not measured: a relaxed Ca2CdAs crystal at the PBE-GGA level of DFT. Values from VASP.

Space group   P4mm, No. 99

The structure in Quantum ESPRESSO input format:
```
&SYSTEM
  ibrav = 0, nat = 4, ntyp = 3
/
ATOMIC_SPECIES
As 74.92 As.upf
Ca 40.08 Ca.upf
Cd 112.41 Cd.upf
CELL_PARAMETERS angstrom
-0.839 -3.293 -2.811
-0.343 -2.804 3.387
-5.963 1.192 0.383
ATOMIC_POSITIONS crystal
As 0.500 0.500 0.870
Ca 0.000 0.000 0.880
Ca 0.500 0.500 0.369
Cd 0.000 0.000 0.381
```



(four)
Computed, not measured: a relaxed Ca2CdAs crystal at the PBE-GGA level of DFT. Values from VASP.

Space group   Pmmm, No. 47

The structure in Quantum ESPRESSO input format:
```
&SYSTEM
  ibrav = 0, nat = 4, ntyp = 3
/
ATOMIC_SPECIES
As 74.92 As.upf
Ca 40.08 Ca.upf
Cd 112.41 Cd.upf
CELL_PARAMETERS angstrom
3.901 0.000 0.000
0.000 3.702 0.011
0.000 3.683 7.154
ATOMIC_POSITIONS crystal
As 0.500 0.750 0.750
Ca 0.000 0.027 0.973
Ca 0.000 0.473 0.527
Cd 0.500 0.250 0.250
```



On energetic grounds, (two) is preferred over the next structure by 38 meV per atom.



(one)
Computed, not measured: a relaxed Ca2CdAs crystal at the PBE-GGA level of DFT. Values from VASP.

Space group   Fm-3m, No. 225

The structure in Quantum ESPRESSO input format:
```
&SYSTEM
  ibrav = 0, nat = 4, ntyp = 3
/
ATOMIC_SPECIES
As 74.92 As.upf
Ca 40.08 Ca.upf
Cd 112.41 Cd.upf
CELL_PARAMETERS angstrom
0.000 3.744 3.744
3.744 0.000 3.744
3.744 3.744 0.000
ATOMIC_POSITIONS crystal
As 0.000 0.000 0.000
Ca 0.250 0.250 0.250
Ca 0.750 0.750 0.750
Cd 0.500 0.500 0.500
```



(two)
Computed, not measured: a relaxed Ca2CdAs crystal at the PBE-GGA level of DFT. Values from VASP.

Space group   R-3m, No. 166

The structure in Quantum ESPRESSO input format:
```
&SYSTEM
  ibrav = 0, nat = 4, ntyp = 3
/
ATOMIC_SPECIES
As 74.92 As.upf
Ca 40.08 Ca.upf
Cd 112.41 Cd.upf
CELL_PARAMETERS angstrom
-1.694 0.517 -7.482
0.333 -3.370 -6.903
-3.953 -2.941 -5.903
ATOMIC_POSITIONS crystal
As 0.750 0.750 0.750
Ca 0.017 0.017 0.017
Ca 0.483 0.483 0.483
Cd 0.250 0.250 0.250
```



(three)
Computed, not measured: a relaxed Ca2CdAs crystal at the PBE-GGA level of DFT. Values from VASP.

Space group   P4/mmm, No. 123

The structure in Quantum ESPRESSO input format:
```
&SYSTEM
  ibrav = 0, nat = 4, ntyp = 3
/
ATOMIC_SPECIES
As 74.92 As.upf
Ca 40.08 Ca.upf
Cd 112.41 Cd.upf
CELL_PARAMETERS angstrom
5.004 -0.003 -0.010
0.002 5.004 -0.010
0.009 0.009 4.098
ATOMIC_POSITIONS crystal
As 0.000 0.500 0.500
Ca 0.000 0.000 0.000
Ca 0.500 0.500 0.000
Cd 0.500 0.000 0.500
```



On energetic grounds, (three) is preferred over the next structure by 7 meV per atom.



(one)
Computed, not measured: a relaxed CaCdAs crystal at the PBE-GGA level of DFT. Values from VASP.

Space group   Imm2, No. 44

The structure in Quantum ESPRESSO input format:
```
&SYSTEM
  ibrav = 0, nat = 3, ntyp = 3
/
ATOMIC_SPECIES
As 74.92 As.upf
Ca 40.08 Ca.upf
Cd 112.41 Cd.upf
CELL_PARAMETERS angstrom
-1.516 -0.908 -5.607
-5.094 -2.220 -1.919
2.487 4.066 3.441
ATOMIC_POSITIONS crystal
As 0.009 0.009 0.000
Ca 0.343 0.343 0.000
Cd 0.648 0.648 0.000
```



(two)
Computed, not measured: a relaxed CaCdAs crystal at the PBE-GGA level of DFT. Values from VASP.

Space group   P3m1, No. 156

The structure in Quantum ESPRESSO input format:
```
&SYSTEM
  ibrav = 0, nat = 3, ntyp = 3
/
ATOMIC_SPECIES
As 74.92 As.upf
Ca 40.08 Ca.upf
Cd 112.41 Cd.upf
CELL_PARAMETERS angstrom
-0.631 0.170 4.382
4.070 -0.644 -1.629
0.680 4.492 -0.076
ATOMIC_POSITIONS crystal
As 0.000 0.000 0.947
Ca 0.667 0.333 0.310
Cd 0.333 0.667 0.744
```



On energetic grounds, (two) is preferred over the next structure by 144 meV per atom.



(one)
Computed, not measured: a relaxed CaCdAs crystal at the PBE-GGA level of DFT. Values from VASP.

Space group   Pmmn, No. 59

The structure in Quantum ESPRESSO input format:
```
&SYSTEM
  ibrav = 0, nat = 12, ntyp = 3
/
ATOMIC_SPECIES
Cd 112.41 Cd.upf
As 74.92 As.upf
Ca 40.08 Ca.upf
CELL_PARAMETERS angstrom
-4.887 2.046 -0.751
-1.424 -1.377 5.517
3.224 8.812 3.031
ATOMIC_POSITIONS crystal
Cd 0.500 0.240 0.764
Cd 0.000 0.740 0.236
Cd 0.500 0.760 0.764
Cd 0.000 0.260 0.236
As 0.000 0.500 0.626
As 0.000 0.000 0.993
As 0.500 0.000 0.374
As 0.500 0.500 0.007
Ca 0.000 0.000 0.571
Ca 0.000 0.500 0.928
Ca 0.500 0.000 0.072
Ca 0.500 0.500 0.429
```



(two)
Computed, not measured: a relaxed CaCdAs crystal at the PBE-GGA level of DFT. Values from VASP.

Space group   F-43m, No. 216

The structure in Quantum ESPRESSO input format:
```
&SYSTEM
  ibrav = 0, nat = 3, ntyp = 3
/
ATOMIC_SPECIES
As 74.92 As.upf
Ca 40.08 Ca.upf
Cd 112.41 Cd.upf
CELL_PARAMETERS angstrom
4.902 0.000 0.000
2.451 4.246 0.000
2.451 1.415 4.003
ATOMIC_POSITIONS crystal
As 0.750 0.750 0.750
Ca 0.000 0.000 0.000
Cd 0.500 0.500 0.500
```



(three)
Computed, not measured: a relaxed CaCdAs crystal at the PBE-GGA level of DFT. Values from VASP.

Space group   P-1, No. 2

The structure in Quantum ESPRESSO input format:
```
&SYSTEM
  ibrav = 0, nat = 6, ntyp = 3
/
ATOMIC_SPECIES
Ca 40.08 Ca.upf
Cd 112.41 Cd.upf
As 74.92 As.upf
CELL_PARAMETERS angstrom
-2.280 1.495 -3.221
-3.381 -1.947 1.491
-1.288 8.622 2.432
ATOMIC_POSITIONS crystal
Ca 0.373 0.408 0.238
Ca 0.821 0.582 0.586
Cd 0.832 0.772 0.965
Cd 0.361 0.218 0.858
As 0.358 0.057 0.534
As 0.836 0.933 0.289
```



(four)
Computed, not measured: a relaxed CaCdAs crystal at the PBE-GGA level of DFT. Values from VASP.

Space group   F-43m, No. 216

The structure in Quantum ESPRESSO input format:
```
&SYSTEM
  ibrav = 0, nat = 3, ntyp = 3
/
ATOMIC_SPECIES
As 74.92 As.upf
Ca 40.08 Ca.upf
Cd 112.41 Cd.upf
CELL_PARAMETERS angstrom
4.911 0.000 0.000
2.455 4.253 0.000
2.455 1.418 4.010
ATOMIC_POSITIONS crystal
As 0.500 0.500 0.500
Ca 0.750 0.750 0.750
Cd 0.000 0.000 0.000
```



On energetic grounds, (three) is preferred over the next structure by 17 meV per atom.



(one)
Computed, not measured: a relaxed CaCd3As crystal at the PBE-GGA level of DFT. Values from VASP.

Space group   Pm-3m, No. 221

The structure in Quantum ESPRESSO input format:
```
&SYSTEM
  ibrav = 0, nat = 5, ntyp = 3
/
ATOMIC_SPECIES
As 74.92 As.upf
Ca 40.08 Ca.upf
Cd 112.41 Cd.upf
CELL_PARAMETERS angstrom
5.904 0.000 0.000
0.000 5.904 0.000
0.000 0.000 5.904
ATOMIC_POSITIONS crystal
As 0.500 0.500 0.500
Ca 0.000 0.000 0.000
Cd 0.000 0.500 0.000
Cd 0.000 0.000 0.500
Cd 0.500 0.000 0.000
```



(two)
Computed, not measured: a relaxed CaCd3As crystal at the PBE-GGA level of DFT. Values from VASP.

Space group   Pm-3m, No. 221

The structure in Quantum ESPRESSO input format:
```
&SYSTEM
  ibrav = 0, nat = 5, ntyp = 3
/
ATOMIC_SPECIES
As 74.92 As.upf
Ca 40.08 Ca.upf
Cd 112.41 Cd.upf
CELL_PARAMETERS angstrom
5.353 0.000 0.000
0.000 5.353 0.000
0.000 0.000 5.353
ATOMIC_POSITIONS crystal
As 0.000 0.000 0.000
Ca 0.500 0.500 0.500
Cd 0.000 0.500 0.000
Cd 0.000 0.000 0.500
Cd 0.500 0.000 0.000
```



On energetic grounds, (two) is preferred over the next structure by 708 meV per atom.



(one)
Computed, not measured: a relaxed Ca2Cd2As crystal at the PBE-GGA level of DFT. Values from VASP.

Space group   P4/mbm, No. 127

The structure in Quantum ESPRESSO input format:
```
&SYSTEM
  ibrav = 0, nat = 10, ntyp = 3
/
ATOMIC_SPECIES
As 74.92 As.upf
Ca 40.08 Ca.upf
Cd 112.41 Cd.upf
CELL_PARAMETERS angstrom
-1.034 -7.039 -2.853
6.912 0.321 -3.297
1.886 -1.809 3.779
ATOMIC_POSITIONS crystal
As 0.000 0.000 0.000
As 0.500 0.500 0.000
Ca 0.175 0.675 0.500
Ca 0.675 0.825 0.500
Ca 0.825 0.325 0.500
Ca 0.325 0.175 0.500
Cd 0.369 0.869 0.000
Cd 0.869 0.631 0.000
Cd 0.631 0.131 0.000
Cd 0.131 0.369 0.000
```



(two)
Computed, not measured: a relaxed Ca2Cd2As crystal at the PBE-GGA level of DFT. Values from VASP.

Space group   I4/mmm, No. 139

The structure in Quantum ESPRESSO input format:
```
&SYSTEM
  ibrav = 0, nat = 5, ntyp = 3
/
ATOMIC_SPECIES
As 74.92 As.upf
Ca 40.08 Ca.upf
Cd 112.41 Cd.upf
CELL_PARAMETERS angstrom
-5.848 1.308 1.076
-1.643 -5.322 -2.459
-3.468 -3.792 2.985
ATOMIC_POSITIONS crystal
As 0.000 0.000 0.000
Ca 0.750 0.250 0.500
Ca 0.250 0.750 0.500
Cd 0.337 0.337 0.326
Cd 0.663 0.663 0.674
```



(three)
Computed, not measured: a relaxed Ca2Cd2As crystal at the PBE-GGA level of DFT. Values from VASP.

Space group   P4/mbm, No. 127

The structure in Quantum ESPRESSO input format:
```
&SYSTEM
  ibrav = 0, nat = 10, ntyp = 3
/
ATOMIC_SPECIES
As 74.92 As.upf
Ca 40.08 Ca.upf
Cd 112.41 Cd.upf
CELL_PARAMETERS angstrom
-5.987 4.669 1.521
0.806 -1.432 7.567
3.174 3.937 0.407
ATOMIC_POSITIONS crystal
As 0.000 0.000 0.000
As 0.500 0.500 0.000
Ca 0.328 0.828 0.000
Ca 0.828 0.672 0.000
Ca 0.672 0.172 0.000
Ca 0.172 0.328 0.000
Cd 0.140 0.640 0.500
Cd 0.640 0.860 0.500
Cd 0.860 0.360 0.500
Cd 0.360 0.140 0.500
```



On energetic grounds, (one) is preferred over the next structure by 57 meV per atom.



(one)
Computed, not measured: a relaxed CaCd2AsF crystal at the PBE-GGA level of DFT. Values from VASP.

Space group   P4/mmm, No. 123

The structure in Quantum ESPRESSO input format:
```
&SYSTEM
  ibrav = 0, nat = 5, ntyp = 4
/
ATOMIC_SPECIES
As 74.92 As.upf
F 19.00 F.upf
Ca 40.08 Ca.upf
Cd 112.41 Cd.upf
CELL_PARAMETERS angstrom
5.521 0.000 0.000
0.000 4.287 0.000
0.000 0.000 5.521
ATOMIC_POSITIONS crystal
As 0.000 0.000 0.000
F 0.000 0.500 0.000
Ca 0.500 0.500 0.500
Cd 0.000 0.000 0.500
Cd 0.500 0.000 0.000
```



(two)
Computed, not measured: a relaxed CaCd2AsF crystal at the PBE-GGA level of DFT. Values from VASP.

Space group   P4/mmm, No. 123

The structure in Quantum ESPRESSO input format:
```
&SYSTEM
  ibrav = 0, nat = 5, ntyp = 4
/
ATOMIC_SPECIES
As 74.92 As.upf
F 19.00 F.upf
Ca 40.08 Ca.upf
Cd 112.41 Cd.upf
CELL_PARAMETERS angstrom
-0.384 5.187 -3.007
-4.065 0.046 0.598
0.788 3.030 5.127
ATOMIC_POSITIONS crystal
As 0.500 0.500 0.500
F 0.000 0.500 0.000
Ca 0.000 0.000 0.000
Cd 0.000 0.000 0.500
Cd 0.500 0.000 0.000
```



On energetic grounds, (two) is preferred over the next structure by 76 meV per atom.